Record 1
Here is an optimized crystal structure of DyHoAlTl from Alexandria via LeMat-Bulk. Energies are from PBE.

a = 7.403 Å, b = 7.403 Å, c = 7.403 Å
α = 90.00°, β = 90.00°, γ = 90.00°
Element x y z (fractional)
Dy (0.000, 0.000, 0.000)
Dy (0.000, 0.500, 0.500)
Dy (0.500, 0.000, 0.500)
Dy (0.500, 0.500, 0.000)
Ho (0.000, 0.000, 0.500)
Ho (0.000, 0.500, 0.000)
Ho (0.500, 0.000, 0.000)
Ho (0.500, 0.500, 0.500)
Al (0.250, 0.250, 0.250)
Al (0.250, 0.750, 0.750)
Al (0.750, 0.250, 0.750)
Al (0.750, 0.750, 0.250)
Tl (0.250, 0.250, 0.750)
Tl (0.250, 0.750, 0.250)
Tl (0.750, 0.250, 0.250)
Tl (0.750, 0.750, 0.750)

Summary:
The spin magnetization is 0.000 μB/atom. The calculation puts the density of states at the Fermi level at 5.7 states/eV per cell. As for the calculated volume: 25.4 Å³ per atom. The offset from the most stable computed form is 26 meV per atom. The calculation puts the energy of formation at -32 kJ/mol of atoms.



Record 2
Here is an optimized crystal structure of DyHoTmAl from Alexandria via LeMat-Bulk. Energies are from PBE.

a = 7.508 Å, b = 7.508 Å, c = 7.508 Å
α = 90.00°, β = 90.00°, γ = 90.00°
Element x y z (fractional)
Dy (0.000, 0.000, 0.000)
Dy (0.000, 0.500, 0.500)
Dy (0.500, 0.000, 0.500)
Dy (0.500, 0.500, 0.000)
Ho (0.000, 0.000, 0.500)
Ho (0.000, 0.500, 0.000)
Ho (0.500, 0.000, 0.000)
Ho (0.500, 0.500, 0.500)
Tm (0.250, 0.250, 0.250)
Tm (0.250, 0.750, 0.750)
Tm (0.750, 0.250, 0.750)
Tm (0.750, 0.750, 0.250)
Al (0.250, 0.250, 0.750)
Al (0.250, 0.750, 0.250)
Al (0.750, 0.250, 0.250)
Al (0.750, 0.750, 0.750)

Summary:
The spin magnetization is 0.001 μB/atom. The calculation puts the density of states at the Fermi level at 22.7 states/eV per cell. As for the calculated volume: 26.5 Å³ per atom. The offset from the most stable computed form is 126 meV per atom. The calculation puts the energy of formation at -6 kJ/mol of atoms.



Record 3
Here is an optimized crystal structure of DyHoTmAl from Alexandria via LeMat-Bulk. Energies are from PBE.

a = 4.719 Å, b = 4.732 Å, c = 4.735 Å
α = 90.00°, β = 90.00°, γ = 90.00°
Element x y z (fractional)
Dy (0.000, 0.000, 0.000)
Ho (0.000, 0.500, 0.500)
Tm (0.500, 0.000, 0.500)
Al (0.500, 0.500, 0.000)

Summary:
The spin magnetization is 0.000 μB/atom. The calculation puts the density of states at the Fermi level at 4.8 states/eV per cell. As for the calculated volume: 26.4 Å³ per atom. The offset from the most stable computed form is 0 meV per atom. The calculation puts the energy of formation at -19 kJ/mol of atoms.



Record 4
Here is an optimized crystal structure of DyYHoAl from Alexandria via LeMat-Bulk. Energies are from PBE.

a = 7.560 Å, b = 7.560 Å, c = 7.560 Å
α = 90.00°, β = 90.00°, γ = 90.00°
Element x y z (fractional)
Dy (0.000, 0.000, 0.000)
Dy (0.000, 0.500, 0.500)
Dy (0.500, 0.000, 0.500)
Dy (0.500, 0.500, 0.000)
Y (0.000, 0.000, 0.500)
Y (0.000, 0.500, 0.000)
Y (0.500, 0.000, 0.000)
Y (0.500, 0.500, 0.500)
Ho (0.250, 0.250, 0.250)
Ho (0.250, 0.750, 0.750)
Ho (0.750, 0.250, 0.750)
Ho (0.750, 0.750, 0.250)
Al (0.250, 0.250, 0.750)
Al (0.250, 0.750, 0.250)
Al (0.750, 0.250, 0.250)
Al (0.750, 0.750, 0.750)

Summary:
The spin magnetization is 0.014 μB/atom. The calculation puts the density of states at the Fermi level at 26.3 states/eV per cell. As for the calculated volume: 27.0 Å³ per atom. The offset from the most stable computed form is 133 meV per atom. The calculation puts the energy of formation at -5 kJ/mol of atoms.



Record 5
Here is an optimized crystal structure of DyYHoAl from Alexandria via LeMat-Bulk. Energies are from PBE.

a = 4.747 Å, b = 4.752 Å, c = 4.778 Å
α = 90.00°, β = 90.00°, γ = 90.00°
Element x y z (fractional)
Dy (0.000, 0.000, 0.000)
Y (0.000, 0.500, 0.500)
Ho (0.500, 0.500, 0.000)
Al (0.500, 0.000, 0.500)

Summary:
The spin magnetization is 0.000 μB/atom. The calculation puts the density of states at the Fermi level at 5.7 states/eV per cell. As for the calculated volume: 26.9 Å³ per atom. The offset from the most stable computed form is 0 meV per atom. The calculation puts the energy of formation at -18 kJ/mol of atoms.



Record 6
Here is an optimized crystal structure of DyHoAl2Zn2 from Alexandria via LeMat-Bulk. Energies are from PBE.

a = 4.474 Å, b = 4.474 Å, c = 7.150 Å
α = 90.00°, β = 90.00°, γ = 120.00°
Element x y z (fractional)
Dy (0.000, 0.000, 0.000)
Ho (0.000, 0.000, 0.500)
Al (0.333, 0.667, 0.746)
Al (0.667, 0.333, 0.254)
Zn (0.333, 0.667, 0.256)
Zn (0.667, 0.333, 0.744)

Summary:
The spin magnetization is 0.000 μB/atom. The calculation puts the density of states at the Fermi level at 3.3 states/eV per cell. As for the calculated volume: 20.7 Å³ per atom. The calculation puts the energy of formation at -44 kJ/mol of atoms.



Record 7
Here is an optimized crystal structure of Dy2AlI from Alexandria via LeMat-Bulk. Energies are from PBE.

a = 3.850 Å, b = 3.850 Å, c = 26.307 Å
α = 90.00°, β = 90.00°, γ = 120.00°
Element x y z (fractional)
Dy (0.000, 0.000, 0.242)
Dy (0.000, 0.000, 0.758)
Dy (0.333, 0.667, 0.425)
Dy (0.333, 0.667, 0.908)
Dy (0.667, 0.333, 0.092)
Dy (0.667, 0.333, 0.575)
Al (0.000, 0.000, 0.500)
Al (0.333, 0.667, 0.167)
Al (0.667, 0.333, 0.833)
I (0.000, 0.000, 0.000)
I (0.333, 0.667, 0.667)
I (0.667, 0.333, 0.333)

Summary:
The spin magnetization is 0.000 μB/atom. The uncorrected formation energy comes out at -471 meV per atom. The calculation puts the density of states at the Fermi level at 4.4 states/eV per cell. As for the calculated volume: 28.1 Å³ per atom. The offset from the most stable computed form is 0 meV per atom.



Record 8
Here is an optimized crystal structure of Dy4AlI5 from Alexandria via LeMat-Bulk. Energies are from PBE.

a = 10.947 Å, b = 10.947 Å, c = 8.822 Å
α = 90.30°, β = 90.30°, γ = 22.12°
Element x y z (fractional)
Dy (0.000, 0.000, 0.220)
Dy (0.000, 0.000, 0.780)
Dy (0.372, 0.372, 0.998)
Dy (0.628, 0.628, 0.002)
Al (0.500, 0.500, 0.000)
I (0.152, 0.152, 0.252)
I (0.152, 0.152, 0.752)
I (0.500, 0.500, 0.500)
I (0.848, 0.848, 0.248)
I (0.848, 0.848, 0.748)

Summary:
The spin magnetization is 0.000 μB/atom. The uncorrected formation energy comes out at -960 meV per atom. The calculation puts the density of states at the Fermi level at 3.9 states/eV per cell. As for the calculated volume: 39.8 Å³ per atom. The offset from the most stable computed form is 34 meV per atom.



Record 9
Here is an optimized crystal structure of Dy4Al2I5 from Alexandria via LeMat-Bulk. Energies are from PBE.

a = 12.178 Å, b = 12.178 Å, c = 8.575 Å
α = 93.16°, β = 93.16°, γ = 19.21°
Element x y z (fractional)
Dy (0.026, 0.026, 0.290)
Dy (0.335, 0.335, 0.568)
Dy (0.665, 0.665, 0.432)
Dy (0.974, 0.974, 0.710)
Al (0.448, 0.448, 0.457)
Al (0.552, 0.552, 0.543)
I (0.147, 0.147, 0.164)
I (0.210, 0.210, 0.680)
I (0.500, 0.500, 0.000)
I (0.790, 0.790, 0.320)
I (0.853, 0.853, 0.836)

Summary:
The spin magnetization is 0.000 μB/atom. The uncorrected formation energy comes out at -789 meV per atom. The calculation puts the density of states at the Fermi level at 6.6 states/eV per cell. As for the calculated volume: 38.0 Å³ per atom.



Record 10
Here is an optimized crystal structure of Dy4AlI5 from Alexandria via LeMat-Bulk. Energies are from PBE.

a = 9.870 Å, b = 9.870 Å, c = 8.876 Å
α = 102.12°, β = 102.12°, γ = 24.64°
Element x y z (fractional)
Dy (0.000, 0.000, 0.219)
Dy (0.000, 0.000, 0.781)
Dy (0.352, 0.352, 0.924)
Dy (0.648, 0.648, 0.076)
Al (0.500, 0.500, 0.000)
I (0.167, 0.167, 0.337)
I (0.173, 0.173, 0.832)
I (0.500, 0.500, 0.500)
I (0.827, 0.827, 0.168)
I (0.833, 0.833, 0.663)

Summary:
The spin magnetization is 0.000 μB/atom. The uncorrected formation energy comes out at -994 meV per atom. The calculation puts the density of states at the Fermi level at 4.3 states/eV per cell. As for the calculated volume: 35.2 Å³ per atom. The offset from the most stable computed form is 0 meV per atom.



Record 11
Here is an optimized crystal structure of Dy2AlI from Alexandria via LeMat-Bulk. Energies are from PBE.

a = 3.577 Å, b = 3.577 Å, c = 8.378 Å
α = 90.00°, β = 90.00°, γ = 90.00°
Element x y z (fractional)
Dy (0.000, 0.000, 0.220)
Dy (0.000, 0.000, 0.780)
Al (0.500, 0.500, 0.000)
I (0.500, 0.500, 0.500)

Summary:
The spin magnetization is 0.000 μB/atom. The uncorrected formation energy comes out at -465 meV per atom. The calculation puts the density of states at the Fermi level at 3.6 states/eV per cell. As for the calculated volume: 26.8 Å³ per atom. The offset from the most stable computed form is 7 meV per atom.



Record 12
Here is an optimized crystal structure of Dy4AlIn3 from Alexandria via LeMat-Bulk. Energies are from PBE.

a = 3.673 Å, b = 3.673 Å, c = 15.291 Å
α = 90.00°, β = 90.00°, γ = 90.00°
Element x y z (fractional)
Dy (0.000, 0.000, 0.116)
Dy (0.000, 0.000, 0.371)
Dy (0.000, 0.000, 0.629)
Dy (0.000, 0.000, 0.884)
Al (0.500, 0.500, 0.000)
In (0.500, 0.500, 0.244)
In (0.500, 0.500, 0.500)
In (0.500, 0.500, 0.756)

Summary:
The spin magnetization is 0.000 μB/atom. The calculation puts the density of states at the Fermi level at 3.8 states/eV per cell. As for the calculated volume: 25.8 Å³ per atom. The offset from the most stable computed form is 0 meV per atom. The calculation puts the energy of formation at -43 kJ/mol of atoms.